Record 1
Density functional theory data (PBE-GGA) for PmDyGe after structural relaxation.

```
data_PmDyGe
_chemical_formula_sum 'Pm1 Dy1 Ge1'
_symmetry_space_group_name_H-M 'P 3 m 1'
_symmetry_Int_Tables_number 156
_cell_length_a 4.7472
_cell_length_b 4.7472
_cell_length_c 4.2562
_cell_angle_alpha 90.00
_cell_angle_beta 90.00
_cell_angle_gamma 120.00
loop_
_symmetry_equiv_pos_as_xyz
'x,y,z'
'-y,x-y,z'
'-x+y,-x,z'
'-y,-x,z'
'-x+y,y,z'
'x,x-y,z'
loop_
_atom_site_label
_atom_site_type_symbol
_atom_site_fract_x
_atom_site_fract_y
_atom_site_fract_z
_atom_site_occupancy
Pm1 Pm 0.0000 0.0000 0.0000 1
Dy1 Dy 0.3333 0.6667 0.4729 1
Ge1 Ge 0.6667 0.3333 0.6372 1
```

## Properties
Final energy: -0.3719 Ry per atom
Crystal system: trigonal
Formation energy: -403 meV/atom
Polymorph energy (0 for the lowest one): 19.1 kJ per mole of atoms

=====

Record 2
Density functional theory data (PBE-GGA) for PmDyGe after structural relaxation.

```
data_PmDyGe
_chemical_formula_sum 'Pm2 Dy2 Ge2'
_symmetry_space_group_name_H-M 'P 4/n m m'
_symmetry_Int_Tables_number 129
_cell_length_a 4.430
_cell_length_b 4.430
_cell_length_c 8.211
_cell_angle_alpha 90.00
_cell_angle_beta 90.00
_cell_angle_gamma 90.00
loop_
_symmetry_equiv_pos_as_xyz
'x,y,z'
'-x,-y,-z'
'-y+1/2,x,z'
'y+1/2,-x,-z'
'-x+1/2,-y+1/2,z'
'x+1/2,y+1/2,-z'
'y,-x+1/2,z'
'-y,x+1/2,-z'
'x+1/2,-y,-z'
'-x+1/2,y,z'
'-y,-x,-z'
'y,x,z'
'-x,y+1/2,-z'
'x,-y+1/2,z'
'y+1/2,x+1/2,-z'
'-y+1/2,-x+1/2,z'
loop_
_atom_site_label
_atom_site_type_symbol
_atom_site_fract_x
_atom_site_fract_y
_atom_site_fract_z
_atom_site_occupancy
Pm1 Pm 0.250 0.250 0.144 1
Dy1 Dy 0.250 0.750 0.500 1
Ge1 Ge 0.250 0.250 0.770 1
```

## Properties
Final energy: -0.3864 Ry per atom
Crystal system: tetragonal
Formation energy: -601 meV/atom
Polymorph energy (0 for the lowest one): 0.0 kJ per mole of atoms

=====

Record 3
Density functional theory data (PBE-GGA) for PmDy2Ge4 after structural relaxation.

```
data_PmDy2Ge4
_chemical_formula_sum 'Pm2 Dy4 Ge8'
_symmetry_space_group_name_H-M 'I m m m'
_symmetry_Int_Tables_number 71
_symmetry_space_group_name_Hall '-I 2 2'
_cell_length_a 4.040
_cell_length_b 4.285
_cell_length_c 18.345
_cell_angle_alpha 90.00
_cell_angle_beta 90.00
_cell_angle_gamma 90.00
loop_
_atom_site_label
_atom_site_type_symbol
_atom_site_fract_x
_atom_site_fract_y
_atom_site_fract_z
_atom_site_occupancy
Pm1 Pm 0.000 0.000 0.000 1
Dy1 Dy 0.000 0.500 0.319 1
Ge1 Ge 0.000 0.000 0.432 1
Ge2 Ge 0.000 0.500 0.160 1
```

## Properties
Final energy: -0.3961 Ry per atom
Crystal system: orthorhombic
Formation energy: -757 meV/atom

=====

Record 4
Density functional theory data (PBE-GGA) for PmDy4Ge4 after structural relaxation.

```
data_PmDy4Ge4
_chemical_formula_sum 'Pm2 Dy8 Ge8'
_symmetry_space_group_name_H-M 'P 42/n'
_symmetry_Int_Tables_number 86
_cell_length_a 9.261
_cell_length_b 9.261
_cell_length_c 5.810
_cell_angle_alpha 90.00
_cell_angle_beta 90.00
_cell_angle_gamma 90.00
loop_
_symmetry_equiv_pos_as_xyz
'x,y,z'
'-x,-y,-z'
'-y,x+1/2,z+1/2'
'y,-x+1/2,-z+1/2'
'-x+1/2,-y+1/2,z'
'x+1/2,y+1/2,-z'
'y+1/2,-x,z+1/2'
'-y+1/2,x,-z+1/2'
loop_
_atom_site_label
_atom_site_type_symbol
_atom_site_fract_x
_atom_site_fract_y
_atom_site_fract_z
_atom_site_occupancy
Pm1 Pm 0.250 0.250 0.250 1
Dy1 Dy 0.086 0.650 0.139 1
Ge1 Ge 0.034 0.612 0.642 1
```

## Properties
Final energy: -0.3826 Ry per atom
Crystal system: tetragonal
Formation energy: -580 meV/atom